Hf2RePb | GGA-PBE | optimized geometry

Results
uncorrected energy = -36.8 eV/cell
formation energy = -0.17 eV per atom
mass density = 14504 kg/m3

Lattice parameters (Å, degrees): 3.2651 3.2651 8.0584 90.00 90.00 90.00
Atoms (fractional coordinates):
Pb1 0.5000 0.5000 0.5000
Re1 0.5000 0.5000 0.0000
Hf1 0.0000 0.0000 0.1964
Hf2 0.0000 0.0000 0.8036

=====

GdZrMnCu | GGA-PBE | optimized geometry

Results
uncorrected energy = -35.7 eV/cell
formation energy = 0.06 eV per atom
mass density = 7931 kg/m3

Lattice parameters (Å, degrees): 4.7719 4.7719 4.7719 60.00 60.00 60.00
Last column: magnetic moment on the atom in μB.
Atoms (fractional coordinates):
Mn1 0.7500 0.7500 0.7500  -2.64
Gd1 0.5000 0.5000 0.5000  7.20
Zr1 0.0000 0.0000 0.0000  0.55
Cu1 0.2500 0.2500 0.2500  0.03

=====

KRbPtPb | GGA-PBE | optimized geometry

Results
uncorrected energy = -12.4 eV/cell
formation energy = -0.15 eV per atom
mass density = 4924 kg/m3

Lattice parameters (Å, degrees): 4.7574 4.7574 9.4708 75.45 75.45 60.00
Atoms (fractional coordinates):
Pt1 0.4415 0.4415 0.6755
K1 0.0242 0.0242 0.9274
Rb1 0.2002 0.2002 0.3995
Pb1 0.7749 0.7749 0.6754

=====

LiEr5Ag4 | GGA-PBE | optimized geometry

Results
uncorrected energy = -38.6 eV/cell
formation energy = -0.24 eV per atom
mass density = 8988 kg/m3

Lattice parameters (Å, degrees): 3.5965 3.5965 18.2069 90.00 90.00 90.00
Atoms (fractional coordinates):
Er1 0.5000 0.5000 0.6992
Li1 0.0000 0.0000 0.0000
Er2 0.5000 0.5000 0.1032
Ag1 0.0000 0.0000 0.5994
Ag2 0.0000 0.0000 0.4006
Er3 0.5000 0.5000 0.8968
Ag3 0.0000 0.0000 0.1989
Er4 0.5000 0.5000 0.3008
Er5 0.5000 0.5000 0.5000
Ag4 0.0000 0.0000 0.8011

=====

Rb3Ce2ZrTe6 | GGA-PBE | optimized geometry

Results
uncorrected energy = -56.4 eV/cell
mass density = 5055 kg/m3

Lattice parameters (Å, degrees): 7.8363 7.8363 9.0002 98.37 98.37 120.03
Last column: magnetic moment on the atom in μB.
Atoms (fractional coordinates):
Te1 0.6181 0.9333 0.7994  -0.02
Ce1 0.6660 0.3340 0.0000  1.01
Te2 0.2469 0.2469 0.7977  -0.02
Ce2 0.3340 0.6660 0.0000  1.01
Te3 0.9333 0.6181 0.7994  -0.02
Rb1 0.5000 0.5000 0.5000  0.00
Zr1 0.0000 0.0000 0.0000  0.52
Te4 0.0667 0.3819 0.2006  -0.02
Rb2 0.1713 0.8287 0.5000  0.00
Te5 0.3819 0.0667 0.2006  -0.02
Te6 0.7531 0.7531 0.2023  -0.02
Rb3 0.8287 0.1713 0.5000  0.00

=====

Nd2Y3 | GGA-PBE | optimized geometry

Results
energy relative to the lowest polymorph listed for this composition = 40.4 meV/atom
uncorrected energy = -57.3 eV/cell
formation energy = 0.05 eV per atom
mass density = 5485 kg/m3

Lattice parameters (Å, degrees): 6.5648 9.1646 6.8256 80.08 61.26 69.01
Atoms (fractional coordinates):
Y1 0.1926 0.5000 0.5000
Nd1 0.3644 0.0967 0.4262
Y2 0.9426 0.0000 0.0000
Y3 0.3493 0.2018 0.9051
Nd2 0.8874 0.9033 0.5738
Y4 0.8011 0.2982 0.4051
Nd3 0.0406 0.5967 0.0738
Y5 0.4563 0.7982 0.0949
Nd4 0.7111 0.4033 0.9262
Y6 0.5045 0.7018 0.5949

=====

PdPbI3 | GGA-PBE | optimized geometry

Results
energy relative to the lowest polymorph listed for this composition = 463.1 meV/atom
uncorrected energy = -11.9 eV/cell
mass density = 4851 kg/m3

Lattice parameters (Å, degrees): 6.1942 6.1942 6.1942 90.00 90.00 90.00
Last column: magnetic moment on the atom in μB.
Atoms (fractional coordinates):
Pd1 0.5000 0.5000 0.5000  0.53
I1 0.0000 0.0000 0.5000  0.02
Pb1 0.0000 0.0000 0.0000  0.00
I2 0.0000 0.5000 0.0000  0.04
I3 0.5000 0.0000 0.0000  0.03

=====

ReTe2Ir | GGA-PBE | optimized geometry

Results
energy relative to the lowest polymorph listed for this composition = 440.9 meV/atom
uncorrected energy = -49.9 eV/cell
mass density = 10058 kg/m3

Lattice parameters (Å, degrees): 5.9561 5.9561 7.2473 65.74 65.74 90.00
Atoms (fractional coordinates):
Te1 0.6256 0.1250 0.2500
Re1 0.2500 0.7500 0.5000
Te2 0.1244 0.6250 0.2500
Te3 0.3750 0.3744 0.7500
Re2 0.5000 0.5000 0.0000
Ir1 0.7500 0.2500 0.5000
Ir2 0.0000 0.0000 0.0000
Te4 0.8750 0.8756 0.7500

=====

La3CoPb | GGA-PBE | optimized geometry

Results
energy relative to the lowest polymorph listed for this composition = 224.3 meV/atom
uncorrected energy = -52.9 eV/cell
formation energy = -0.17 eV per atom
mass density = 7457 kg/m3

Lattice parameters (Å, degrees): 7.9876 7.9876 7.9876 53.34 53.34 53.34
Atoms (fractional coordinates):
La1 0.2483 0.7466 0.7492
Co1 0.1550 0.1550 0.1550
La2 0.7517 0.2534 0.2508
La3 0.2534 0.2508 0.7517
Pb1 0.7184 0.7184 0.7184
La4 0.7492 0.2483 0.7466
Co2 0.8450 0.8450 0.8450
Pb2 0.2816 0.2816 0.2816
La5 0.2508 0.7517 0.2534
La6 0.7466 0.7492 0.2483

=====

LiSmScAu | GGA-PBE | optimized geometry

Results
uncorrected energy = -17.7 eV/cell
formation energy = -0.36 eV per atom
mass density = 7420 kg/m3

Lattice parameters (Å, degrees): 5.0179 5.0179 5.0179 60.00 60.00 60.00
Atoms (fractional coordinates):
Li1 0.5000 0.5000 0.5000
Au1 0.0000 0.0000 0.0000
Sc1 0.2500 0.2500 0.2500
Sm1 0.7500 0.7500 0.7500

=====

BeBi2RuBr | GGA-PBE | optimized geometry

Results
uncorrected energy = -14.5 eV/cell
mass density = 6869 kg/m3

Lattice parameters (Å, degrees): 5.6906 4.5384 5.6906 90.00 90.00 90.00
Last column: magnetic moment on the atom in μB.
Atoms (fractional coordinates):
Bi1 0.5000 0.0000 0.0000  0.03
Be1 0.5000 0.5000 0.5000  0.03
Br1 0.0000 0.0000 0.0000  0.01
Ru1 0.0000 0.5000 0.0000  0.51
Bi2 0.0000 0.0000 0.5000  0.02

=====

RuRhIO2 | GGA-PBE | optimized geometry

Results
energy relative to the lowest polymorph listed for this composition = 463.7 meV/atom
uncorrected energy = -26.1 eV/cell
mass density = 5913 kg/m3

Lattice parameters (Å, degrees): 3.7788 3.7788 7.1368 90.00 90.00 90.00
Last column: magnetic moment on the atom in μB.
Atoms (fractional coordinates):
Ru1 0.5000 0.5000 0.5000  1.37
O1 0.5000 0.0000 0.0000  -0.08
O2 0.0000 0.5000 0.0000  -0.08
Rh1 0.0000 0.0000 0.0000  -0.21
I1 0.0000 0.0000 0.5000  0.06

=====

VRh3 | GGA-PBE | optimized geometry

Results
uncorrected energy = -65.4 eV/cell
formation energy = -0.38 eV per atom
mass density = 10813 kg/m3

Lattice parameters (Å, degrees): 4.3287 5.4285 5.4284 120.00 90.00 90.00
Atoms (fractional coordinates):
Rh1 0.7500 0.8322 0.1679
Rh2 0.7500 0.8322 0.6645
Rh3 0.2500 0.6644 0.8322
V1 0.2500 0.6667 0.3335
V2 0.7500 0.3333 0.6666
Rh4 0.2500 0.1678 0.3356
Rh5 0.7500 0.3356 0.1679
Rh6 0.2500 0.1678 0.8322

=====

PaBeRuO6 | GGA-PBE | optimized geometry

Results
uncorrected energy = -71.7 eV/cell
mass density = 7144 kg/m3

Lattice parameters (Å, degrees): 4.7984 4.9445 4.9445 120.00 90.00 90.00
Last column: magnetic moment on the atom in μB.
Atoms (fractional coordinates):
Ru1 0.5000 0.6667 0.3333  1.91
Pa1 0.0000 0.3333 0.6667  0.16
O1 0.7211 0.6945 0.6804  0.12
Be1 0.5000 0.0000 0.0000  0.01
O2 0.2789 0.9859 0.6804  0.12
O3 0.2789 0.6945 0.0141  0.12
O4 0.7211 0.9859 0.3055  0.12
O5 0.7211 0.3196 0.0141  0.12
O6 0.2789 0.3196 0.3055  0.12

=====

PrNd2ThAs4 | GGA-PBE | optimized geometry

Results
uncorrected energy = -52.4 eV/cell
formation energy = -1.51 eV per atom
mass density = 7220 kg/m3

Lattice parameters (Å, degrees): 4.2793 7.3984 7.4044 70.56 90.00 90.00
Atoms (fractional coordinates):
Pr1 0.5000 0.5000 0.0000
As1 0.0000 0.7494 0.7467
Nd1 0.0000 0.0000 0.0000
Th1 0.0000 0.5000 0.5000
As2 0.5000 0.2520 0.7465
As3 0.0000 0.2506 0.2533
Nd2 0.5000 0.0000 0.5000
As4 0.5000 0.7480 0.2535

=====

KGeSeO6 | GGA-PBE | optimized geometry

Results
uncorrected energy = -96.2 eV/cell
mass density = 3631 kg/m3

Lattice parameters (Å, degrees): 4.9625 4.9625 12.2948 90.00 90.00 120.00
Last column: magnetic moment on the atom in μB.
Atoms (fractional coordinates):
O1 0.6290 0.6137 0.6644  0.15
O2 0.3863 0.3710 0.8356  0.15
Ge1 0.6667 0.3333 0.2500  -0.01
Se1 0.6667 0.3333 0.7500  -0.02
K1 0.0000 0.0000 0.5000  0.00
K2 0.0000 0.0000 0.0000  0.00
O3 0.6137 0.9846 0.3356  0.15
O4 0.6290 0.0154 0.8356  0.15
O5 0.9846 0.6137 0.8356  0.15
Se2 0.3333 0.6667 0.2500  -0.02
O6 0.0154 0.6290 0.3356  0.15
O7 0.3863 0.0154 0.6644  0.15
O8 0.9846 0.3710 0.6644  0.15
O9 0.0154 0.3863 0.1644  0.15
Ge2 0.3333 0.6667 0.7500  -0.01
O10 0.6137 0.6290 0.1644  0.15
O11 0.3710 0.3863 0.3356  0.15
O12 0.3710 0.9846 0.1644  0.15

=====

Tm2GeBRh6 | GGA-PBE | optimized geometry

Results
uncorrected energy = -70.7 eV/cell
formation energy = -0.64 eV per atom
mass density = 10388 kg/m3

Lattice parameters (Å, degrees): 6.1679 6.1690 6.1692 60.01 60.02 90.02
Atoms (fractional coordinates):
Rh1 0.7342 0.7342 0.5316
Ge1 0.0000 0.0000 0.0000
Tm1 0.7501 0.2501 0.4999
Rh2 0.2657 0.2659 0.0000
Rh3 0.2658 0.2658 0.4684
Rh4 0.2658 0.7342 0.0000
Rh5 0.7342 0.2658 0.0000
B1 0.5000 0.5000 0.0000
Tm2 0.2500 0.7499 0.5001
Rh6 0.7343 0.7341 0.0000

=====

AlCu2P | GGA-PBE | optimized geometry

Results
energy relative to the lowest polymorph listed for this composition = 52.7 meV/atom
uncorrected energy = -17.3 eV/cell
formation energy = 0.02 eV per atom
mass density = 5725 kg/m3

Lattice parameters (Å, degrees): 4.7965 4.7965 4.7965 135.39 135.37 64.94
Atoms (fractional coordinates):
P1 0.7500 0.2500 0.5000
Al1 0.2500 0.7500 0.5000
Cu1 0.5000 0.5000 0.0000
Cu2 0.0000 0.0000 0.0000

=====

LiMnP2S | GGA-PBE | optimized geometry

Results
energy relative to the lowest polymorph listed for this composition = 0.0 meV/atom
uncorrected energy = -25.6 eV/cell
mass density = 2742 kg/m3

Lattice parameters (Å, degrees): 4.2507 4.2507 5.2249 90.00 90.00 90.00
Last column: magnetic moment on the atom in μB.
Atoms (fractional coordinates):
S1 0.0000 0.0000 0.5000  -0.03
Mn1 0.0000 0.0000 0.0000  1.69
P1 0.5000 0.0000 0.0000  -0.08
P2 0.0000 0.5000 0.0000  -0.08
Li1 0.5000 0.5000 0.5000  0.01

=====

Hf2Pt2S | GGA-PBE | optimized geometry

Results
uncorrected energy = -82.0 eV/cell
mass density = 13662 kg/m3

Lattice parameters (Å, degrees): 7.1243 7.1243 3.7319 90.00 90.00 90.00
Atoms (fractional coordinates):
Hf1 0.8305 0.6695 0.0000
Pt1 0.8676 0.3676 0.5000
S1 0.5000 0.5000 0.0000
Hf2 0.3305 0.8305 0.0000
Hf3 0.6695 0.1695 0.0000
Pt2 0.6324 0.8676 0.5000
S2 0.0000 0.0000 0.0000
Hf4 0.1695 0.3305 0.0000
Pt3 0.1324 0.6324 0.5000
Pt4 0.3676 0.1324 0.5000